1.
Below is Tb2Er5Tm4 after structural relaxation, with properties calculated at the PBE level.

Summary:
Electronic total energy = -4.32 eV/atom
Distance to the lowest polymorph of the same formula = 217 kJ/mol of formula units
Energy of formation = 226 meV per atom
SG = Immm, No. 71
Magnetization = 0.00 μB/f.u.

abc: 12.4016 12.4016 12.4016
angles: 164.01 138.10 45.12
Fractional positions:
Tb1 0.2318 0.2318 0.0000
Tb2 0.7682 0.7682 0.0000
Er1 0.1605 0.3572 0.8034
Er2 0.4462 0.6428 0.8034
Er3 0.5000 0.0000 0.5000
Er4 0.5538 0.3572 0.1966
Er5 0.8395 0.6428 0.1966
Tm1 0.0970 0.0970 0.0000
Tm2 0.1886 0.5000 0.6886
Tm3 0.8114 0.5000 0.3114
Tm4 0.9030 0.9030 0.0000

***

2.
Below is Tb3Er3Tm8 after structural relaxation, with properties calculated at the PBE level.

Summary:
Electronic total energy = -4.41 eV/atom
Distance to the lowest polymorph of the same formula = 0 kJ/mol of formula units
Energy of formation = 118 meV per atom
SG = Immm, No. 71
Magnetization = 0.00 μB/f.u.

abc: 9.4881 9.4881 9.4881
angles: 146.10 111.61 78.56
Fractional positions:
Tb1 0.0000 0.0000 0.0000
Tb2 0.1815 0.6815 0.5000
Tb3 0.8185 0.3185 0.5000
Er1 0.2048 0.5000 0.7048
Er2 0.5000 0.5000 0.0000
Er3 0.7952 0.5000 0.2952
Tm1 0.1189 0.2780 0.8409
Tm2 0.2393 0.8963 0.3431
Tm3 0.4370 0.2780 0.1591
Tm4 0.4468 0.1037 0.3431
Tm5 0.5532 0.8963 0.6569
Tm6 0.5630 0.7220 0.8409
Tm7 0.7607 0.1037 0.6569
Tm8 0.8811 0.7220 0.1591

***

3.
Below is Tb2ErTm3 after structural relaxation, with properties calculated at the PBE level.

Summary:
Electronic total energy = -4.52 eV/atom
Distance to the lowest polymorph of the same formula = 7 kJ/mol of formula units
Energy of formation = 24 meV per atom
SG = C2/c, No. 15
Magnetization = 0.00 μB/f.u.

abc: 9.2858 9.2858 6.0684
angles: 90.11 90.11 44.42
Fractional positions:
Tb1 0.0413 0.2915 0.4162
Tb2 0.2915 0.0413 0.9162
Tb3 0.7085 0.9587 0.0838
Tb4 0.9587 0.7085 0.5838
Er1 0.3752 0.6248 0.7500
Er2 0.6248 0.3752 0.2500
Tm1 0.1251 0.8749 0.2500
Tm2 0.2090 0.4587 0.0830
Tm3 0.4587 0.2090 0.5830
Tm4 0.5413 0.7910 0.4170
Tm5 0.7910 0.5413 0.9170
Tm6 0.8749 0.1251 0.7500

***

4.
Below is Tb6ErTm2 after structural relaxation, with properties calculated at the PBE level.

Summary:
Electronic total energy = -4.57 eV/atom
Distance to the lowest polymorph of the same formula = 0 kJ/mol of formula units
Energy of formation = 18 meV per atom
SG = P-1, No. 2
Magnetization = 0.00 μB/f.u.

abc: 3.5331 8.6447 9.3382
angles: 89.99 79.15 89.94
Fractional positions:
Tb1 0.1107 0.3339 0.2797
Tb2 0.2216 0.6664 0.0569
Tb3 0.3336 0.0000 0.8318
Tb4 0.6664 0.0000 0.1682
Tb5 0.7784 0.3336 0.9431
Tb6 0.8893 0.6661 0.7203
Er1 0.0000 0.0000 0.5000
Tm1 0.4447 0.3330 0.6102
Tm2 0.5553 0.6670 0.3898

***

5.
Below is Tb3Er2Tm6 after structural relaxation, with properties calculated at the PBE level.

Summary:
Electronic total energy = -4.51 eV/atom
Distance to the lowest polymorph of the same formula = 0 kJ/mol of formula units
Energy of formation = 25 meV per atom
SG = R-3m, No. 166
Magnetization = 0.00 μB/f.u.

abc: 31.4338 31.4338 31.4338
angles: 6.40 6.40 6.40
Fractional positions:
Tb1 0.0000 0.0000 0.0000
Tb2 0.2724 0.2724 0.2724
Tb3 0.7276 0.7276 0.7276
Er1 0.4548 0.4548 0.4548
Er2 0.5452 0.5452 0.5452
Tm1 0.0914 0.0914 0.0914
Tm2 0.1817 0.1817 0.1817
Tm3 0.3638 0.3638 0.3638
Tm4 0.6362 0.6362 0.6362
Tm5 0.8183 0.8183 0.8183
Tm6 0.9086 0.9086 0.9086

***

6.
Below is Tb4Er2Tm5 after structural relaxation, with properties calculated at the PBE level.

Summary:
Electronic total energy = -4.39 eV/atom
Distance to the lowest polymorph of the same formula = 106 kJ/mol of formula units
Energy of formation = 157 meV per atom
SG = C2/m, No. 12
Magnetization = 0.00 μB/f.u.

abc: 11.8620 11.8620 8.5729
angles: 97.14 97.14 16.69
Fractional positions:
Tb1 0.0457 0.0457 0.3587
Tb2 0.3227 0.3227 0.5282
Tb3 0.6773 0.6773 0.4718
Tb4 0.9543 0.9543 0.6413
Er1 0.0910 0.0910 0.7413
Er2 0.9090 0.9090 0.2587
Tm1 0.1413 0.1413 0.1178
Tm2 0.2320 0.2320 0.8267
Tm3 0.5000 0.5000 0.0000
Tm4 0.7680 0.7680 0.1733
Tm5 0.8587 0.8587 0.8822

***

7.
Below is Tb7ErTm12 after structural relaxation, with properties calculated at the PBE level.

Summary:
Electronic total energy = -4.22 eV/atom
Distance to the lowest polymorph of the same formula = 0 kJ/mol of formula units
Energy of formation = 307 meV per atom
SG = R-3, No. 148
Magnetization = 0.00 μB/f.u.

abc: 8.5736 8.5736 8.5736
angles: 95.10 95.10 95.10
Fractional positions:
Tb1 0.0000 0.0000 0.0000
Tb2 0.1454 0.4140 0.4772
Tb3 0.4140 0.4772 0.1454
Tb4 0.4772 0.1454 0.4140
Tb5 0.5228 0.8546 0.5860
Tb6 0.5860 0.5228 0.8546
Tb7 0.8546 0.5860 0.5228
Er1 0.5000 0.5000 0.5000
Tm1 0.0157 0.0808 0.3508
Tm2 0.0808 0.3508 0.0157
Tm3 0.1874 0.7509 0.3157
Tm4 0.2491 0.6843 0.8126
Tm5 0.3157 0.1874 0.7509
Tm6 0.3508 0.0157 0.0808
Tm7 0.6492 0.9843 0.9192
Tm8 0.6843 0.8126 0.2491
Tm9 0.7509 0.3157 0.1874
Tm10 0.8126 0.2491 0.6843
Tm11 0.9192 0.6492 0.9843
Tm12 0.9843 0.9192 0.6492

***

8.
Below is Tb2ErTm4 after structural relaxation, with properties calculated at the PBE level.

Summary:
Electronic total energy = -4.46 eV/atom
Distance to the lowest polymorph of the same formula = 49 kJ/mol of formula units
Energy of formation = 73 meV per atom
SG = P1, No. 1
Magnetization = 0.00 μB/f.u.

abc: 5.9969 8.2441 9.3612
angles: 88.66 78.29 72.53
Fractional positions:
Tb1 0.0000 0.0000 0.0000
Tb2 0.0094 0.8863 0.3580
Tb3 0.7400 0.8394 0.7329
Tb4 0.8497 0.3982 0.8638
Er1 0.1032 0.4683 0.5102
Er2 0.8967 0.3297 0.2307
Tm1 0.2015 0.0488 0.6420
Tm2 0.2835 0.6214 0.8065
Tm3 0.3388 0.5246 0.1570
Tm4 0.4084 0.1993 0.9368
Tm5 0.4639 0.1065 0.2874
Tm6 0.5473 0.6762 0.4503
Tm7 0.6455 0.2568 0.5831
Tm8 0.7414 0.7285 0.0937

***

9.
Below is Tb7Er3Tm after structural relaxation, with properties calculated at the PBE level.

Summary:
Electronic total energy = -4.33 eV/atom
Distance to the lowest polymorph of the same formula = 137 kJ/mol of formula units
Energy of formation = 268 meV per atom
SG = C2/m, No. 12
Magnetization = 0.32 μB/f.u.

abc: 8.3643 8.3643 5.7631
angles: 110.12 110.12 83.08
Fractional positions:
Tb1 0.0000 0.0000 0.0000
Tb2 0.0984 0.5127 0.3057
Tb3 0.2912 0.2912 0.7924
Tb4 0.4873 0.9016 0.6943
Tb5 0.5127 0.0984 0.3057
Tb6 0.7088 0.7088 0.2076
Tb7 0.9016 0.4873 0.6943
Er1 0.2940 0.7060 0.0000
Er2 0.5000 0.5000 0.5000
Er3 0.7060 0.2940 0.0000
Tm1 0.0000 0.0000 0.5000

***

10.
Below is Tb2Er2Tm after structural relaxation, with properties calculated at the PBE level.

Summary:
Electronic total energy = -4.47 eV/atom
Distance to the lowest polymorph of the same formula = 0 kJ/mol of formula units
Energy of formation = 98 meV per atom
SG = P4/mbm, No. 127
Magnetization = 0.00 μB/f.u.

abc: 9.1644 9.1644 3.7022
angles: 90.00 90.00 90.00
Fractional positions:
Tb1 0.1291 0.3709 0.0000
Tb2 0.3709 0.8709 0.0000
Tb3 0.6291 0.1291 0.0000
Tb4 0.8709 0.6291 0.0000
Er1 0.1698 0.6698 0.5000
Er2 0.3302 0.1698 0.5000
Er3 0.6698 0.8302 0.5000
Er4 0.8302 0.3302 0.5000
Tm1 0.0000 0.0000 0.0000
Tm2 0.5000 0.5000 0.0000

***

11.
Below is Tb3Er4Tm8 after structural relaxation, with properties calculated at the PBE level.

Summary:
Electronic total energy = -4.11 eV/atom
Distance to the lowest polymorph of the same formula = 380 kJ/mol of formula units
Energy of formation = 414 meV per atom
SG = C2/m, No. 12
Magnetization = 0.01 μB/f.u.

abc: 9.1570 9.1570 6.6156
angles: 111.11 111.11 88.19
Fractional positions:
Tb1 0.0000 0.0000 0.0000
Tb2 0.0000 0.5000 0.0000
Tb3 0.5000 0.0000 0.0000
Er1 0.0000 0.5000 0.5000
Er2 0.5000 0.0000 0.5000
Er3 0.5000 0.5000 0.0000
Er4 0.5000 0.5000 0.5000
Tm1 0.1390 0.8610 0.5000
Tm2 0.2331 0.2331 0.9677
Tm3 0.2362 0.2362 0.4907
Tm4 0.2487 0.7513 0.0000
Tm5 0.7513 0.2487 0.0000
Tm6 0.7638 0.7638 0.5093
Tm7 0.7669 0.7669 0.0323
Tm8 0.8610 0.1390 0.5000

***

12.
Below is Tb8Er4Tm after structural relaxation, with properties calculated at the PBE level.

Summary:
Electronic total energy = -4.38 eV/atom
Energy of formation = 218 meV per atom
SG = R-3m, No. 166
Magnetization = 0.00 μB/f.u.

abc: 10.1054 10.1054 10.1054
angles: 41.68 41.68 41.68
Fractional positions:
Tb1 0.2026 0.7506 0.7506
Tb2 0.2140 0.2140 0.2140
Tb3 0.2494 0.2494 0.7974
Tb4 0.2494 0.7974 0.2494
Tb5 0.7506 0.2026 0.7506
Tb6 0.7506 0.7506 0.2026
Tb7 0.7860 0.7860 0.7860
Tb8 0.7974 0.2494 0.2494
Er1 0.0000 0.0000 0.0000
Er2 0.0000 0.5000 0.5000
Er3 0.5000 0.0000 0.5000
Er4 0.5000 0.5000 0.0000
Tm1 0.5000 0.5000 0.5000

***

Q: Which of these has the highest electronic total energy?
A: Tb3Er4Tm8

***

Please write out number 12 again, unchanged.
Below is Tb8Er4Tm after structural relaxation, with properties calculated at the PBE level.

Summary:
Electronic total energy = -4.38 eV/atom
Energy of formation = 218 meV per atom
SG = R-3m, No. 166
Magnetization = 0.00 μB/f.u.

abc: 10.1054 10.1054 10.1054
angles: 41.68 41.68 41.68
Fractional positions:
Tb1 0.2026 0.7506 0.7506
Tb2 0.2140 0.2140 0.2140
Tb3 0.2494 0.2494 0.7974
Tb4 0.2494 0.7974 0.2494
Tb5 0.7506 0.2026 0.7506
Tb6 0.7506 0.7506 0.2026
Tb7 0.7860 0.7860 0.7860
Tb8 0.7974 0.2494 0.2494
Er1 0.0000 0.0000 0.0000
Er2 0.0000 0.5000 0.5000
Er3 0.5000 0.0000 0.5000
Er4 0.5000 0.5000 0.0000
Tm1 0.5000 0.5000 0.5000

***

What did the second record say?
Below is Tb3Er3Tm8 after structural relaxation, with properties calculated at the PBE level.

Summary:
Electronic total energy = -4.41 eV/atom
Distance to the lowest polymorph of the same formula = 0 kJ/mol of formula units
Energy of formation = 118 meV per atom
SG = Immm, No. 71
Magnetization = 0.00 μB/f.u.

abc: 9.4881 9.4881 9.4881
angles: 146.10 111.61 78.56
Fractional positions:
Tb1 0.0000 0.0000 0.0000
Tb2 0.1815 0.6815 0.5000
Tb3 0.8185 0.3185 0.5000
Er1 0.2048 0.5000 0.7048
Er2 0.5000 0.5000 0.0000
Er3 0.7952 0.5000 0.2952
Tm1 0.1189 0.2780 0.8409
Tm2 0.2393 0.8963 0.3431
Tm3 0.4370 0.2780 0.1591
Tm4 0.4468 0.1037 0.3431
Tm5 0.5532 0.8963 0.6569
Tm6 0.5630 0.7220 0.8409
Tm7 0.7607 0.1037 0.6569
Tm8 0.8811 0.7220 0.1591